(1)
VASP calculation (PBE) on a relaxed PmBi2Rh crystal.

Properties
Relative energy among the computed polymorphs = 0.0 meV/atom
N(E_F) = 7.52 states/eV per cell
Calculated volume = 26.10 A^3/atom

Geometry as extended XYZ:
```
8
Lattice="-2.3109 2.3109 9.7736 2.3109 -2.3109 9.7736 2.3109 2.3109 -9.7736" Properties=species:S:1:pos:R:3 pbc="T T T"
Pm 0.0000 0.0000 2.6674
Pm 0.0000 0.0000 16.8798
Bi 2.3109 0.0000 0.0000
Bi 0.0000 0.0000 6.4467
Bi 0.0000 2.3109 0.0000
Bi 0.0000 0.0000 13.1005
Rh 2.3109 0.0000 4.8868
Rh 0.0000 2.3109 4.8868
```



(2)
VASP calculation (PBE) on a relaxed CuIrS2 crystal.

Properties
N(E_F) = 2.20 states/eV per cell
Calculated volume = 18.04 A^3/atom
Uncorrected energy = -5.24 eV per atom

Geometry as extended XYZ:
```
8
Lattice="-1.7446 3.5830 5.7722 1.7446 -3.5830 5.7722 1.7446 3.5830 -5.7722" Properties=species:S:1:pos:R:3 pbc="T T T"
Cu 0.0000 1.7915 1.8871
Cu 1.7446 1.7915 3.8851
Ir 1.7446 1.7915 -1.7595
Ir 0.0000 1.7915 7.5317
S 1.7446 3.2667 -4.4388
S 1.7446 -0.3162 4.4388
S 0.0000 3.8992 1.3334
S 0.0000 0.3162 10.2110
```